Compound: NaMn2TcOs
Source: Alexandria
Functional: PBE-GGA
Structure: relaxed

Values from the calculation:
Total energy   -6.251 eV per atom
Calculated formation energy   2000 meV per atom

```
data_NaMn2TcOs
_space_group_name_H-M_alt 'P 4/m m m'
_space_group_IT_number 123
_space_group_name_Hall '-P 4 2'
_cell_length_a 4.430
_cell_length_b 4.430
_cell_length_c 4.776
_cell_angle_alpha 90.00
_cell_angle_beta 90.00
_cell_angle_gamma 90.00
loop_
_atom_site_label
_atom_site_fract_x
_atom_site_fract_y
_atom_site_fract_z
_atom_site_occupancy
Na1 0.000 0.000 0.000 1
Mn1 0.000 0.500 0.500 1
Tc1 0.000 0.000 0.500 1
Os1 0.500 0.500 0.000 1
```

---

Compound: Tb5Nd5Sm
Source: Alexandria
Functional: PBE-GGA
Structure: relaxed

Values from the calculation:
Excess energy over the best structure of this formula in the dataset   0 meV/atom
Total energy   -4.560 eV per atom
Calculated formation energy   141 meV per atom

```
data_Tb5Nd5Sm
_space_group_name_H-M_alt 'P -1'
_space_group_IT_number 2
_cell_length_a 6.992
_cell_length_b 7.024
_cell_length_c 8.548
_cell_angle_alpha 75.42
_cell_angle_beta 76.49
_cell_angle_gamma 71.72
loop_
_space_group_symop_operation_xyz
'x,y,z'
'-x,-y,-z'
loop_
_atom_site_label
_atom_site_fract_x
_atom_site_fract_y
_atom_site_fract_z
_atom_site_occupancy
Tb1 0.000 0.000 0.000 1
Tb2 0.178 0.718 0.351 1
Tb3 0.290 0.353 0.698 1
Nd1 0.140 0.253 0.270 1
Nd2 0.346 0.862 0.642 1
Nd3 0.500 0.500 0.000 1
Sm1 0.500 0.000 0.000 1
```

---

Compound: Ac2PaO6
Source: Alexandria
Functional: PBE-GGA
Structure: relaxed

Values from the calculation:
Excess energy over the best structure of this formula in the dataset   100 meV/atom
Formation energy (no corrections)   -3.22 eV/atom
Total energy   -8.489 eV per atom

```
data_Ac2PaO6
_space_group_name_H-M_alt 'P 42/m n m'
_space_group_IT_number 136
_space_group_name_Hall '-P 4n 2n'
_cell_length_a 5.426
_cell_length_b 5.426
_cell_length_c 11.448
_cell_angle_alpha 90.00
_cell_angle_beta 90.00
_cell_angle_gamma 90.00
loop_
_atom_site_label
_atom_site_fract_x
_atom_site_fract_y
_atom_site_fract_z
_atom_site_occupancy
Ac1 0.000 0.000 0.165 1
Pa1 0.000 0.000 0.500 1
O1 0.179 0.179 0.352 1
O2 0.214 0.214 0.000 1
```

---

Compound: Pa2IrSe
Source: Alexandria
Functional: PBE-GGA
Structure: relaxed

Values from the calculation:
Excess energy over the best structure of this formula in the dataset   89 meV/atom
Formation energy (no corrections)   -0.92 eV/atom
Total energy   -8.754 eV per atom

```
data_Pa2IrSe
_space_group_name_H-M_alt 'R 3 m'
_space_group_IT_number 160
_space_group_name_Hall 'R 3 -2"'
_cell_length_a 3.8823
_cell_length_b 3.8823
_cell_length_c 22.2842
_cell_angle_alpha 90.00
_cell_angle_beta 90.00
_cell_angle_gamma 120.00
loop_
_atom_site_label
_atom_site_fract_x
_atom_site_fract_y
_atom_site_fract_z
_atom_site_occupancy
Pa1 0.0000 0.0000 0.0000 1
Pa2 0.0000 0.0000 0.1833 1
Ir1 0.0000 0.0000 0.5897 1
Se1 0.0000 0.0000 0.7588 1
```

---

Compound: ScFePt
Source: Alexandria
Functional: PBE-GGA
Structure: relaxed

Values from the calculation:
Total energy   -6.819 eV per atom
Calculated formation energy   126 meV per atom

```
data_ScFePt
_space_group_name_H-M_alt 'F -4 3 m'
_space_group_IT_number 216
_space_group_name_Hall 'F -4 2 3'
_cell_length_a 6.092
_cell_length_b 6.092
_cell_length_c 6.092
_cell_angle_alpha 90.00
_cell_angle_beta 90.00
_cell_angle_gamma 90.00
loop_
_atom_site_label
_atom_site_fract_x
_atom_site_fract_y
_atom_site_fract_z
_atom_site_occupancy
Sc1 0.000 0.000 0.000 1
Fe1 0.250 0.250 0.750 1
Pt1 0.250 0.250 0.250 1
```

---

Compound: Li2Si2Ni5B
Source: Alexandria
Functional: PBE-GGA
Structure: relaxed

Values from the calculation:
Formation energy (no corrections)   -0.34 eV/atom
Total energy   -5.370 eV per atom

```
data_Li2Si2Ni5B
_space_group_name_H-M_alt 'P 4/m b m'
_space_group_IT_number 127
_space_group_name_Hall '-P 4 2ab'
_cell_length_a 9.499
_cell_length_b 9.499
_cell_length_c 2.529
_cell_angle_alpha 90.00
_cell_angle_beta 90.00
_cell_angle_gamma 90.00
loop_
_atom_site_label
_atom_site_fract_x
_atom_site_fract_y
_atom_site_fract_z
_atom_site_occupancy
Li1 0.169 0.331 0.000 1
Si1 0.142 0.642 0.000 1
Ni1 0.000 0.500 0.500 1
Ni2 0.053 0.825 0.500 1
B1 0.000 0.000 0.000 1
```

---

What is the formula in the first record?
NaMn2TcOs